1.
# Ac2ZnPd2O6

Ac2ZnPd2O6 after structural relaxation (PBE, the Alexandria database).

Structure (POSCAR):
```
Ac2ZnPd2O6
1.0
-4.854 2.873 -2.148
-2.536 -1.810 -5.169
-5.656 -2.992 0.300
Pd Zn O Ac
2 1 6 2
Cartesian
-5.668 -0.068 -4.242
-7.378 -1.861 -2.775
0.000 0.000 0.000
-5.762 1.026 -2.565
-5.835 -1.921 -1.498
-7.284 -2.955 -4.452
-4.437 -1.650 -4.292
-8.609 -0.279 -2.725
-7.211 -0.008 -5.519
-9.469 -1.116 -5.534
-3.577 -0.813 -1.483
```

- Space-group type: R-3m (166)
- Uncorrected formation energy: -1484 meV per atom

2.
# Ac2Zn2PdO6

Ac2Zn2PdO6 after structural relaxation (PBE, the Alexandria database).

Structure (POSCAR):
```
Ac2Zn2PdO6
1.0
5.947 0.000 0.000
2.974 5.150 0.000
2.974 1.717 5.664
O Ac Zn Pd
6 2 2 1
Cartesian
7.567 2.499 4.031
5.947 1.564 1.634
4.328 2.499 4.031
7.567 4.369 1.634
4.328 4.369 1.634
5.947 5.304 4.031
2.974 1.717 2.131
8.921 5.150 3.534
5.947 3.434 1.505
5.947 3.434 4.159
0.000 0.000 0.000
```

- Space-group type: R-3m (166)
- Uncorrected formation energy: -1732 meV per atom

Calculated values (g/cm³) of theoretical density for the records, taken in order: 8.11, 7.53.